Na2LaTl2, optimized geometry, DFT PBE; ΔE_f = -127 meV per atom; polymorph energy (0 for the lowest one) = 0.0 meV per atom; energy = -12.9 eV/cell; SG = I4/mmm
1.0
4.443 0.000 0.000
0.000 4.443 0.000
2.222 2.222 7.778
Na Tl La
2 2 1
Direct
0.250 0.750 0.500 Na
0.750 0.250 0.500 Na
0.602 0.602 0.797 Tl
0.398 0.398 0.203 Tl
0.000 0.000 0.000 La